A plane-wave DFT calculation with PBE+U was carried out for an optimized crystal structure of ReMoIO2.

The structure in POSCAR format:
```
ReMoIO2
1.0
3.924 0.000 0.000
0.000 3.924 0.000
0.000 0.000 6.287
Re Mo I O
1 1 1 2
Direct
0.000 0.000 0.000
0.500 0.500 0.500
0.000 0.000 0.500
0.000 0.500 0.000
0.500 0.000 0.000
```

offset from the most stable computed form	0	meV per atom
symmetry	P4/mmm (123)